No. 1
HoScSi2: relaxed, PBE-GGA.

Lattice parameters (Å, degrees): 4.408 4.408 5.554 66.62 66.62 60.00
Element x y z (fractional)
Ho: 0.500 0.500 0.500
Si: 0.261 0.261 0.216
Si: 0.739 0.739 0.784
Sc: 0.000 0.000 0.000

Energy above the most stable polymorph in this dataset in meV per atom: 275
Formation energy from raw total energies in meV/atom: -533
SG: R-3m (166)

=====

No. 2
Pm5ThSb6: relaxed, PBE-GGA.

Lattice parameters (Å, degrees): 7.789 7.789 7.784 59.98 80.41 70.55
Element x y z (fractional)
Pm: 0.500 0.167 0.666
Pm: 0.500 0.833 0.334
Pm: 0.000 0.667 0.667
Pm: 0.500 0.500 0.000
Pm: 0.000 0.333 0.333
Sb: 0.250 0.250 0.000
Sb: 0.250 0.584 0.333
Sb: 0.750 0.083 0.333
Sb: 0.750 0.750 0.000
Sb: 0.750 0.416 0.667
Sb: 0.250 0.917 0.667
Th: 0.000 0.000 0.000

Formation energy from raw total energies in meV/atom: -1159
SG: C2/m (12)

=====

No. 3
ZrV4Mo: relaxed, PBE-GGA.

Lattice parameters (Å, degrees): 5.079 5.079 5.079 60.00 60.00 60.00
Element x y z (fractional)
Zr: 0.000 0.000 0.000
Mo: 0.250 0.250 0.250
V: 0.625 0.625 0.625
V: 0.625 0.625 0.125
V: 0.125 0.625 0.625
V: 0.625 0.125 0.625

Formation energy from the elements in kJ per mole of atoms: 0.4
SG: F-43m (216)

=====

No. 4
Na2CaHg2: relaxed, PBE-GGA.

Lattice parameters (Å, degrees): 4.407 4.407 8.013 74.04 74.04 90.00
Element x y z (fractional)
Hg: 0.401 0.401 0.198
Hg: 0.599 0.599 0.802
Na: 0.250 0.750 0.500
Na: 0.750 0.250 0.500
Ca: 0.000 0.000 0.000

Energy above the most stable polymorph in this dataset in meV per atom: 15
Formation energy from the elements in kJ per mole of atoms: -23.9
SG: I4/mmm (139)

=====

The evaluated mass density for the records listed, in turn: 5.32, 7.27, 7.01, 5.64 g/cm3.